The following is a DFT calculation (GGA-PBE) of CoIrRu after structural relaxation.

Values from the calculation:
The calculation puts the formation energy at 0.1152 eV per atom. The space group is Pnma (62). The calculation puts the final energy at -8.299 eV/atom. For the volume, the calculation gives 157.2 Å³/cell. For the size of the total moment, the calculation gives 4.34 μB per cell.

abc: 2.716 7.023 8.937
angles: 90.00 90.00 67.25
Each line ends with the local moment (μB).
Sites, in units of the cell vectors:
Ir: 0.093 0.157 0.921  0.03
Ir: 0.407 0.343 0.421  0.03
Ir: 0.593 0.657 0.579  0.03
Ir: 0.907 0.843 0.079  0.03
Co: 0.382 0.368 0.710  1.02
Co: 0.618 0.632 0.290  1.02
Co: 0.882 0.868 0.790  1.02
Co: 0.118 0.132 0.210  1.02
Ru: 0.323 0.427 0.110  0.04
Ru: 0.177 0.073 0.610  0.04
Ru: 0.823 0.927 0.390  0.04
Ru: 0.677 0.573 0.890  0.04

---

The following is a DFT calculation (GGA-PBE) of LiOs2Br after structural relaxation.

Values from the calculation:
The value obtained for the formation energy without anion corrections is 759 meV per atom. The space group is Pmmm (47). The calculation puts the final energy at -5.752 eV/atom. For the volume, the calculation gives 68.2 Å³/cell. For the size of the total moment, the calculation gives 0.00 μB per cell.

abc: 2.810 4.359 5.565
angles: 90.00 90.00 90.00
Sites, in units of the cell vectors:
Li: 0.000 0.500 0.500
Br: 0.500 0.000 0.500
Os: 0.000 0.000 0.000
Os: 0.500 0.500 0.000

---

The following is a DFT calculation (GGA-PBE) of Be2NiBr after structural relaxation.

Values from the calculation:
The value obtained for the formation energy without anion corrections is 96 meV per atom. The space group is Pm (6). The calculation puts the final energy at -3.631 eV/atom. For the volume, the calculation gives 60.5 Å³/cell. For the size of the total moment, the calculation gives 0.00 μB per cell.

abc: 3.217 3.173 5.930
angles: 89.70 90.00 90.00
Sites, in units of the cell vectors:
Ni: 0.500 0.752 0.938
Be: 0.000 0.252 0.914
Be: 0.500 0.250 0.196
Br: 0.000 0.246 0.451

---

no.,offset from the most stable computed form (kJ/mol of atoms)
1,8.6
2,41.6
3,3.1